Entry 1:
Pr7Y16Er6 | PBE-GGA | optimized geometry

Structure (extended XYZ):
```
29
Lattice="0.000 7.861 7.861 7.861 0.000 7.861 7.861 7.861 0.000" Properties=species:S:1:pos:R:3 pbc="T T T"
Pr 0.000 0.000 0.000
Pr 3.931 3.931 0.000
Pr 3.931 0.000 3.931
Pr 7.861 3.931 3.931
Pr 0.000 3.931 3.931
Pr 3.931 7.861 3.931
Pr 3.931 3.931 7.861
Y 2.358 2.358 2.358
Y 5.503 5.503 2.358
Y 5.503 2.358 5.503
Y 9.628 6.095 6.095
Y 6.095 6.095 6.095
Y 9.628 9.628 6.095
Y 9.628 6.095 9.628
Y 13.365 10.219 10.219
Y 2.358 5.503 5.503
Y 6.095 9.628 6.095
Y 6.095 6.095 9.628
Y 9.628 9.628 9.628
Y 6.095 9.628 9.628
Y 10.219 13.365 10.219
Y 10.219 10.219 13.365
Y 13.365 13.365 13.365
Er 7.861 7.861 3.542
Er 7.861 3.542 7.861
Er 12.181 7.861 7.861
Er 3.542 7.861 7.861
Er 7.861 12.181 7.861
Er 7.861 7.861 12.181
```

Properties
formation energy from the elements = 0.186 eV/atom
total magnetic moment = 0.0000 μB per atom
VASP energy = -5.478 eV per atom

Entry 2:
Pr2Y5Er2 | PBE-GGA | optimized geometry

Structure (extended XYZ):
```
9
Lattice="10.142 -1.745 0.000 10.142 1.745 0.000 -1.751 0.000 8.525" Properties=species:S:1:pos:R:3 pbc="T T T"
Pr 1.496 0.000 2.832
Pr 17.036 0.000 5.693
Y 5.070 0.000 2.992
Y 8.409 0.000 2.824
Y 10.142 0.000 0.000
Y 10.124 0.000 5.701
Y 13.462 0.000 5.534
Er 4.823 0.000 8.274
Er 13.709 0.000 0.251
```

Properties
formation energy from the elements = 0.158 eV/atom
total magnetic moment = 0.0000 μB per atom
VASP energy = -5.510 eV per atom

Question: Which of these has the lowest formation energy from the elements?
Answer: Pr2Y5Er2